# 1
This record from the Alexandria database describes a relaxed structure of NaHoGaHg. The functional is PBE.

Values from the calculation:
Space-group type: F-43m, No. 216
Energy of formation (eV per atom): -0.30
ρ (Mg/m³): 8.21
Total magnetization (μB/atom): 0.0000

Cell: 7.1842 7.1842 7.1842 Å, 90.00 90.00 90.00°
Closest atoms and distances in Å follow each position.
Sites, in units of the cell vectors:
Na 0.0000 0.0000 0.0000  4 Hg 3.11, 4 Ga 3.11
Na 0.0000 0.5000 0.5000  4 Hg 3.11, 4 Ga 3.11
Na 0.5000 0.0000 0.5000  4 Hg 3.11, 4 Ga 3.11
Na 0.5000 0.5000 0.0000  4 Hg 3.11, 4 Ga 3.11
Ho 0.0000 0.0000 0.5000  4 Hg 3.11, 4 Ga 3.11
Ho 0.0000 0.5000 0.0000  4 Hg 3.11, 4 Ga 3.11
Ho 0.5000 0.0000 0.0000  4 Hg 3.11, 4 Ga 3.11
Ho 0.5000 0.5000 0.5000  4 Hg 3.11, 4 Ga 3.11
Ga 0.2500 0.2500 0.7500  4 Na 3.11, 4 Ho 3.11
Ga 0.2500 0.7500 0.2500  4 Na 3.11, 4 Ho 3.11
Ga 0.7500 0.2500 0.2500  4 Na 3.11, 4 Ho 3.11
Ga 0.7500 0.7500 0.7500  4 Na 3.11, 4 Ho 3.11
Hg 0.2500 0.2500 0.2500  4 Na 3.11, 4 Ho 3.11
Hg 0.2500 0.7500 0.7500  4 Na 3.11, 4 Ho 3.11
Hg 0.7500 0.2500 0.7500  4 Na 3.11, 4 Ho 3.11
Hg 0.7500 0.7500 0.2500  4 Na 3.11, 4 Ho 3.11

---

# 2
This record from the Alexandria database describes a relaxed structure of YB2Os. The functional is PBE.

Values from the calculation:
Space-group type: Pnma, No. 62
Energy of formation (eV per atom): -0.56
Distance to the lowest polymorph of the same formula (meV/atom): 0
ρ (Mg/m³): 9.92
Total magnetization (μB/atom): 0.0000

Cell: 5.9183 5.3242 6.3884 Å, 90.00 90.00 90.00°
Closest atoms and distances in Å follow each position.
Sites, in units of the cell vectors:
Y 0.0103 0.2500 0.1646  6 B 2.62-2.70
Y 0.4897 0.7500 0.6646  6 B 2.62-2.70
Y 0.5103 0.2500 0.3354  6 B 2.62-2.70
Y 0.9897 0.7500 0.8354  6 B 2.62-2.70
B 0.1365 0.5826 0.4600  2 B 1.78-1.91
B 0.1365 0.9174 0.4600  2 B 1.78-1.91
B 0.3635 0.0826 0.9600  2 B 1.78-1.91
B 0.3635 0.4174 0.9600  2 B 1.78-1.91
B 0.6365 0.5826 0.0400  2 B 1.78-1.91
B 0.6365 0.9174 0.0400  2 B 1.78-1.91
B 0.8635 0.0826 0.5400  2 B 1.78-1.91
B 0.8635 0.4174 0.5400  2 B 1.78-1.91
Os 0.1764 0.2500 0.6799  6 B 2.24-2.29
Os 0.3236 0.7500 0.1799  6 B 2.24-2.29
Os 0.6764 0.2500 0.8201  6 B 2.24-2.29
Os 0.8236 0.7500 0.3201  6 B 2.24-2.29

---

# 3
This record from the Alexandria database describes a relaxed structure of YGeH3. The functional is PBE.

Values from the calculation:
Space-group type: Pm-3m, No. 221
Distance to the lowest polymorph of the same formula (meV/atom): 90
ρ (Mg/m³): 4.95
Total magnetization (μB/atom): 0.0000

Cell: 3.8072 3.8072 3.8072 Å, 90.00 90.00 90.00°
Closest atoms and distances in Å follow each position.
Sites, in units of the cell vectors:
Y 0.0000 0.0000 0.0000  12 H 2.69
Ge 0.5000 0.5000 0.5000  6 H 1.90
H 0.0000 0.5000 0.5000  2 Ge 1.90
H 0.5000 0.0000 0.5000  2 Ge 1.90
H 0.5000 0.5000 0.0000  2 Ge 1.90

---

# 4
This record from the Alexandria database describes a relaxed structure of Na3Tb2AlO6. The functional is PBE.

Values from the calculation:
Space-group type: C2/m, No. 12
ρ (Mg/m³): 5.45
ΔE_f (raw) (eV/atom): -2.602
Total magnetization (μB/atom): 0.0000

Cell: 5.6982 5.6982 5.8394 Å, 99.06 99.06 120.21°
Closest atoms and distances in Å follow each position.
Sites, in units of the cell vectors:
Na 0.0000 0.0000 0.0000  6 O 2.45-2.67
Na 0.3470 0.6530 0.0000  4 O 2.38-2.41
Na 0.6530 0.3470 0.0000  4 O 2.38-2.41
Tb 0.1674 0.8326 0.5000  6 O 2.29-2.30
Tb 0.8326 0.1674 0.5000  6 O 2.29-2.30
Al 0.5000 0.5000 0.5000  6 O 2.01-2.04
O 0.1358 0.4338 0.2961  1 Al 2.04
O 0.2674 0.2674 0.6973  1 Al 2.01
O 0.4338 0.1358 0.2961  1 Al 2.04
O 0.5662 0.8642 0.7039  1 Al 2.04
O 0.7326 0.7326 0.3027  1 Al 2.01
O 0.8642 0.5662 0.7039  1 Al 2.04